No. 1
# DyReW, relaxed, DFT PBE
data_DyReW
_cell_length_a 6.353
_cell_length_b 6.353
_cell_length_c 6.353
_cell_angle_alpha 90.00
_cell_angle_beta 90.00
_cell_angle_gamma 90.00
_space_group_name_H-M_alt 'F -4 3 m'
_space_group_IT_number 216
_space_group_name_Hall 'F -4 2 3'
loop_
_atom_site_label
_atom_site_fract_x
_atom_site_fract_y
_atom_site_fract_z
Dy1 0.000 0.000 0.000
Re1 0.250 0.250 0.750
W1 0.250 0.250 0.250
# E = -23.8 eV per formula unit
# ΔH_f (0 K) = 2.0598 eV per atom

No. 2
# ZrHgCl4, relaxed, DFT PBE
data_ZrHgCl4
_cell_length_a 7.103
_cell_length_b 7.314
_cell_length_c 9.870
_cell_angle_alpha 77.61
_cell_angle_beta 79.86
_cell_angle_gamma 63.35
_space_group_name_H-M_alt 'P -1'
_space_group_IT_number 2
_space_group_name_Hall '-P 1'
loop_
_atom_site_label
_atom_site_fract_x
_atom_site_fract_y
_atom_site_fract_z
Zr1 0.171 0.269 0.234
Hg1 0.429 0.558 0.340
Cl1 0.035 0.066 0.171
Cl2 0.072 0.385 0.822
Cl3 0.194 0.169 0.475
Cl4 0.496 0.814 0.891
# E = -24.7 eV per formula unit

No. 3
# Li2Ta2Ga2IrOs, relaxed, DFT PBE
data_Li2Ta2Ga2IrOs
_cell_length_a 4.354
_cell_length_b 4.354
_cell_length_c 6.155
_cell_angle_alpha 90.00
_cell_angle_beta 90.00
_cell_angle_gamma 90.00
_space_group_name_H-M_alt 'P -4 m 2'
_space_group_IT_number 115
_space_group_name_Hall 'P -4 -2'
loop_
_atom_site_label
_atom_site_fract_x
_atom_site_fract_y
_atom_site_fract_z
Li1 0.000 0.000 0.000
Li2 0.500 0.500 0.500
Ta1 0.000 0.500 0.249
Ga1 0.000 0.500 0.753
Ir1 0.000 0.000 0.500
Os1 0.500 0.500 0.000
# E = -57.1 eV per formula unit

Q: Which of these has the lowest E?
A: Li2Ta2Ga2IrOs

Q: E of number 1 (DyReW)?
A: -23.8 eV per formula unit

Q: E of number 2 (ZrHgCl4)?
A: -24.7 eV per formula unit